## Cu2SnRu2 (PBE)

Data for a geometry-optimized Cu2SnRu2 structure.

abc: 6.754 6.754 3.432
angles: 90.00 90.00 90.00
Atoms (fractional coordinates):
1 Cu 0.667 0.833 0.500
2 Cu 0.333 0.167 0.500
3 Cu 0.167 0.667 0.500
4 Sn 0.000 0.000 0.000
5 Ru 0.629 0.129 0.000
6 Ru 0.129 0.371 0.000
7 Ru 0.871 0.629 0.000
8 Cu 0.833 0.333 0.500
9 Sn 0.500 0.500 0.000
10 Ru 0.371 0.871 0.000

Space-group type: P4/mbm
Volume (Å³ per atom): 15.66
Magnetization (Bohr magnetons per cell): 0.00
Energy of formation from the pure elements (eV/atom): 0.32



## Ac2Pm3Rh4 (PBE)

Data for a geometry-optimized Ac2Pm3Rh4 structure.

abc: 7.774 7.905 7.851
angles: 90.00 90.00 108.81
Atoms (fractional coordinates):
1 Rh 0.372 0.495 0.369
2 Ac 0.420 0.806 0.679
3 Pm 0.247 0.244 0.669
4 Pm 0.747 0.244 0.831
5 Rh 0.628 0.505 0.631
6 Rh 0.139 0.911 0.464
7 Rh 0.872 0.495 0.131
8 Pm 0.500 0.500 0.000
9 Ac 0.920 0.806 0.821
10 Rh 0.128 0.505 0.869
11 Ac 0.080 0.194 0.179
12 Ac 0.580 0.194 0.321
13 Rh 0.361 0.089 0.964
14 Rh 0.861 0.089 0.536
15 Pm 0.753 0.756 0.331
16 Pm 0.000 0.500 0.500
17 Pm 0.253 0.756 0.169
18 Rh 0.639 0.911 0.036

Space-group type: P2_1/c
Volume (Å³ per atom): 25.37
Magnetization (Bohr magnetons per cell): 0.00
Energy of formation from the pure elements (eV/atom): -0.69
Energy above the lowest structure with this stoichiometry (meV per atom): 0.0



## MgMnIr (PBE)

Data for a geometry-optimized MgMnIr structure.

abc: 4.172 5.156 5.156
angles: 107.55 66.11 113.89
Site moments in Bohr magnetons follow the coordinates.
Atoms (fractional coordinates):
1 Ir 0.249 0.888 0.957  0.04
2 Mn 0.926 0.440 0.156  0.50
3 Mg 0.543 0.894 0.376  0.00
4 Mg 0.648 0.499 0.771  0.00
5 Ir 0.249 0.313 0.381  0.04
6 Mn 0.926 0.114 0.829  0.49

Space-group type: Imm2
Volume (Å³ per atom): 15.24
Magnetization (Bohr magnetons per cell): 1.16
Energy of formation from the pure elements (eV/atom): -0.08